(1)
An optimized crystal structure of Rb3Sm2DyO6, computed with PBE-GGA.

Structure (POSCAR):
```
Rb3Sm2DyO6
1.0
6.2012 -0.0010 0.0002
-3.1000 5.3707 0.0002
-1.0342 -1.7907 6.5840
Rb O Sm Dy
3 6 2 1
Cartesian
-2.0723 3.5833 3.2922 Rb
4.1394 -0.0042 3.2922 Rb
1.0335 1.7895 3.2922 Rb
2.0876 3.6147 1.1700 O
-0.0206 -0.0357 5.4144 O
0.0402 3.5793 5.4149 O
2.0268 -0.0002 1.1695 O
3.0802 1.8236 5.4149 O
-1.0131 1.7554 1.1695 O
3.1008 1.7896 0.0002 Sm
0.0004 3.5802 0.0002 Sm
0.0000 0.0000 0.0000 Dy
```

Computed properties:
Symmetry: No. 12
V, Å³/cell: 219.3
Energy relative to the elements, uncorrected, meV per atom: -2635

(2)
An optimized crystal structure of CdGaAgF6, computed with PBE-GGA.

Structure (POSCAR):
```
CdGaAgF6
1.0
5.6853 0.0000 0.0000
-2.8427 4.9236 0.0000
0.0000 0.0000 9.8769
Ga F Cd Ag
2 12 2 2
Cartesian
0.0000 3.2824 7.4077 Ga
2.8427 1.6412 2.4692 Ga
2.0960 0.2193 1.3926 F
-1.6047 3.2181 8.4843 F
-0.7467 4.7043 6.3311 F
0.7467 4.7043 8.4843 F
1.2379 1.7055 3.5458 F
-0.8581 1.9248 6.3311 F
0.8581 1.9248 8.4843 F
3.5893 0.2193 3.5458 F
4.4474 1.7055 1.3926 F
3.7007 2.9988 3.5458 F
1.6047 3.2181 6.3311 F
1.9846 2.9988 1.3926 F
2.8427 1.6412 7.4077 Cd
0.0000 3.2824 2.4692 Cd
0.0000 0.0000 0.0000 Ag
0.0000 0.0000 4.9385 Ag
```

Computed properties:
Symmetry: No. 163
V, Å³/cell: 276.5
Energy relative to the elements, uncorrected, meV per atom: -2127

(3)
An optimized crystal structure of KRb3O, computed with PBE-GGA.

Structure (POSCAR):
```
KRb3O
1.0
-7.2536 -1.4738 -1.6818
1.7999 -0.4607 -7.3595
1.3269 -7.4317 0.7897
K Rb O
1 3 1
Cartesian
0.0000 0.0000 0.0000 K
0.6634 -3.7159 0.3948 Rb
-3.6268 -0.7369 -0.8409 Rb
0.9000 -0.2303 -3.6798 Rb
-2.0634 -4.6831 -4.1258 O
```

Computed properties:
Symmetry: No. 221
Offset from the most stable computed form, meV/atom: 1155
V, Å³/cell: 437.3
Energy relative to the elements, uncorrected, meV per atom: 579

(4)
An optimized crystal structure of KV, computed with PBE-GGA.

Structure (POSCAR):
```
KV
1.0
-7.9810 3.4826 -2.2074
-1.6610 -4.3329 -0.8305
-4.1772 -0.9933 13.5362
K V
8 8
Cartesian
-6.0565 1.1827 -0.7465 K
-10.2455 -0.9263 5.2551 K
-9.1410 -0.5881 1.2821 K
-4.6783 -1.2554 9.2162 K
-8.9052 0.4298 8.8787 K
-3.5738 -0.9172 5.2432 K
-4.9141 -2.2732 1.6197 K
-7.7628 -3.0261 11.2448 K
-7.0154 -2.0424 4.6178 V
-7.0060 -2.3998 6.4639 V
-1.4928 -0.8687 0.8286 V
-9.2070 0.1267 -2.3154 V
-6.8039 0.1989 5.8806 V
-4.6123 -1.9702 12.8137 V
-12.3265 -0.9747 9.6698 V
-6.8132 0.5563 4.0344 V
```

Computed properties:
Energy of formation from the pure elements, eV per atom: 0.82
Symmetry: No. 62
Offset from the most stable computed form, meV/atom: 82
V, Å³/cell: 601.4

(5)
An optimized crystal structure of Tl2WAu, computed with PBE-GGA.

Structure (POSCAR):
```
Tl2WAu
1.0
-0.1303 -4.4071 -2.1392
-3.0491 -3.4495 1.6791
-3.9031 -1.3219 -2.6522
Tl W Au
2 1 1
Cartesian
-5.3119 -6.8840 -2.3342 Tl
-1.7706 -2.2947 -0.7781 Tl
0.0000 0.0000 0.0000 W
-3.5412 -4.5893 -1.5561 Au
```

Computed properties:
Energy of formation from the pure elements, eV per atom: 1.07
Symmetry: No. 225
Offset from the most stable computed form, meV/atom: 501
V, Å³/cell: 83.2

(6)
An optimized crystal structure of Rb2NaAu2I6, computed with PBE-GGA.

Structure (POSCAR):
```
Rb2NaAu2I6
1.0
-3.3607 -1.8840 6.8016
8.4528 -2.1828 -0.9201
-2.0862 9.0909 1.4873
Rb Au Na I
2 2 1 6
Cartesian
0.9367 -0.2974 4.8725 Rb
2.0692 5.3214 2.4964 Rb
0.2639 1.9166 0.6613 Au
2.7420 3.1074 6.7076 Au
-2.7235 3.6034 4.1445 Na
-3.2145 5.5464 6.5867 I
-1.6085 6.4467 3.3363 I
2.6519 1.6983 1.7807 I
4.6144 -1.4227 4.0325 I
6.2204 -0.5223 0.7822 I
0.3540 3.3257 5.5882 I
```

Computed properties:
Symmetry: No. 12
V, Å³/cell: 494.6
Energy relative to the elements, uncorrected, meV per atom: -740

(7)
An optimized crystal structure of Mg2In2Sn, computed with PBE-GGA.

Structure (POSCAR):
```
Mg2In2Sn
1.0
-3.7195 -0.9577 -7.5870
-1.4407 -8.1981 1.7411
-3.0867 0.8413 1.4071
Sn Mg In
2 4 4
Cartesian
0.0000 0.0000 0.0000 Sn
-2.5801 -4.5779 -2.9230 Sn
-2.5340 -1.6750 -4.5573 Mg
-2.6263 -7.4807 -1.2887 Mg
-1.0181 -3.1531 -0.3482 Mg
-4.1422 -6.0026 -5.4978 Mg
-5.2290 -7.0325 -2.9255 In
-5.1111 -3.0886 -5.0249 In
-3.1359 -5.2259 0.5860 In
-3.0180 -1.2819 -1.5134 In
```

Computed properties:
Energy of formation from the pure elements, eV per atom: 0.01
Symmetry: No. 127
Offset from the most stable computed form, meV/atom: 37
V, Å³/cell: 252.7

(8)
An optimized crystal structure of GdTl2Ag, computed with PBE-GGA.

Structure (POSCAR):
```
GdTl2Ag
1.0
4.3715 0.0000 0.0000
0.0000 4.8056 0.0000
0.0000 0.0000 4.8056
Ag Tl Gd
1 2 1
Cartesian
2.1858 0.0000 0.0000 Ag
0.0000 2.4028 0.0000 Tl
0.0000 0.0000 2.4028 Tl
2.1858 2.4028 2.4028 Gd
```

Computed properties:
Energy of formation from the pure elements, eV per atom: -0.19
Symmetry: No. 123
Offset from the most stable computed form, meV/atom: 0
V, Å³/cell: 101.0

Which of these has the highest V?
KV

V of number 6 (Rb2NaAu2I6)?
494.6 Å³/cell

Which value of V does entry 2 give?
276.5 Å³/cell

The lowest V belongs to which entry?
Tl2WAu